1.
VASP calculation (GGA-PBE) on an optimized crystal structure of SmPtF3.

abc: 7.2485 7.2485 4.7212
angles: 90.00 90.00 147.20
Closest atoms and distances in Å follow each position.
Element x y z (fractional)
Sm 0.1628 0.8372 0.7500  8 F 2.31-2.44
Sm 0.8372 0.1628 0.2500  8 F 2.31-2.44
Pt 0.4734 0.5266 0.7500  4 F 2.42-2.65, 2 Pt 2.47
Pt 0.5266 0.4734 0.2500  4 F 2.42-2.65, 2 Pt 2.47
F 0.1192 0.8808 0.2500  2 Pt 2.42, 2 Sm 2.44, 4 F 2.61
F 0.3040 0.6960 0.0069  4 F 2.30-2.54, 3 Sm 2.31-2.39
F 0.3040 0.6960 0.4931  4 F 2.30-2.54, 3 Sm 2.31-2.39
F 0.6960 0.3040 0.5069  4 F 2.30-2.54, 3 Sm 2.31-2.39
F 0.6960 0.3040 0.9931  4 F 2.30-2.54, 3 Sm 2.31-2.39
F 0.8808 0.1192 0.7500  2 Pt 2.42, 2 Sm 2.44, 4 F 2.61

* total energy: -5.799 eV/atom

2.
VASP calculation (GGA-PBE) on an optimized crystal structure of SnTe2Pt2F2.

abc: 3.8208 3.8208 9.1702
angles: 90.00 90.00 90.00
Closest atoms and distances in Å follow each position.
Element x y z (fractional)
Sn 0.0000 0.0000 0.0000  4 Te 2.99
Te 0.0000 0.5000 0.7489  4 Pt 2.75, 4 F 2.98, 2 Sn 2.99
Te 0.5000 0.0000 0.2511  4 Pt 2.75, 4 F 2.98, 2 Sn 2.99
Pt 0.0000 0.5000 0.3088  4 F 2.59, 4 Te 2.75
Pt 0.5000 0.0000 0.6912  4 F 2.59, 4 Te 2.75
F 0.0000 0.0000 0.5000  4 Pt 2.59, 4 F 2.70
F 0.5000 0.5000 0.5000  4 Pt 2.59, 4 F 2.70

* total energy: -4.039 eV/atom

3.
VASP calculation (GGA-PBE) on an optimized crystal structure of Sr2Te2PtF2.

abc: 4.4313 4.4313 8.2488
angles: 90.00 90.00 90.00
Closest atoms and distances in Å follow each position.
Element x y z (fractional)
Sr 0.0000 0.5000 0.1559  4 F 2.56
Sr 0.5000 0.0000 0.8441  4 F 2.56
Te 0.0000 0.5000 0.6622  2 Pt 2.59
Te 0.5000 0.0000 0.3378  2 Pt 2.59
Pt 0.0000 0.0000 0.5000  4 Te 2.59
F 0.0000 0.0000 0.0000  4 Sr 2.56
F 0.5000 0.5000 0.0000  4 Sr 2.56

* total energy: -4.923 eV/atom

4.
VASP calculation (GGA-PBE) on an optimized crystal structure of Tb2PtF2.

abc: 9.5779 9.5779 9.5779
angles: 153.98 153.98 37.13
Closest atoms and distances in Å follow each position.
Element x y z (fractional)
Tb 0.0000 0.5000 0.5000  4 F 2.41
Tb 0.1818 0.1818 0.0000  1 F 2.22
Tb 0.5000 0.0000 0.5000  4 F 2.41
Tb 0.8182 0.8182 0.0000  1 F 2.22
Pt 0.3857 0.3857 0.0000  8 Tb 2.99-3.29, 8 F 3.21-3.27
Pt 0.6143 0.6143 0.0000  8 Tb 2.99-3.29, 8 F 3.21-3.27
F 0.0598 0.0598 0.0000  1 F 2.17, 5 Tb 2.22-2.41
F 0.2500 0.7500 0.5000  4 Tb 2.49
F 0.7500 0.2500 0.5000  4 Tb 2.49
F 0.9402 0.9402 0.0000  1 F 2.17, 5 Tb 2.22-2.41

* total energy: -6.031 eV/atom

5.
VASP calculation (GGA-PBE) on an optimized crystal structure of Zn2Te2PtF2.

abc: 3.6272 3.6272 9.6327
angles: 90.00 90.00 90.00
Closest atoms and distances in Å follow each position.
Element x y z (fractional)
Zn 0.0000 0.5000 0.1293  4 F 2.20
Zn 0.5000 0.0000 0.8707  4 F 2.20
Te 0.0000 0.5000 0.6965  2 Pt 2.62
Te 0.5000 0.0000 0.3035  2 Pt 2.62
Pt 0.0000 0.0000 0.5000  4 Te 2.62
F 0.0000 0.0000 0.0000  4 Zn 2.20
F 0.5000 0.5000 0.0000  4 Zn 2.20

* total energy: -3.472 eV/atom

6.
VASP calculation (GGA-PBE) on an optimized crystal structure of Tl3PtF6.

abc: 6.2825 6.2825 6.2825
angles: 60.00 60.00 60.00
Closest atoms and distances in Å follow each position.
Element x y z (fractional)
Tl 0.0000 0.0000 0.0000  6 F 2.38
Tl 0.2500 0.2500 0.2500  12 F 3.15
Tl 0.7500 0.7500 0.7500  12 F 3.15
Pt 0.5000 0.5000 0.5000  6 F 2.06
F 0.2677 0.2677 0.7323  1 Pt 2.06
F 0.2677 0.7323 0.2677  1 Pt 2.06
F 0.2677 0.7323 0.7323  1 Pt 2.06
F 0.7323 0.2677 0.2677  1 Pt 2.06
F 0.7323 0.2677 0.7323  1 Pt 2.06
F 0.7323 0.7323 0.2677  1 Pt 2.06

* total energy: -3.911 eV/atom

7.
VASP calculation (GGA-PBE) on an optimized crystal structure of Tm2Pt3F3.

abc: 3.7581 3.7581 10.6731
angles: 90.00 90.00 90.00
Closest atoms and distances in Å follow each position.
Element x y z (fractional)
Tm 0.0000 0.5000 0.2064  2 F 2.05
Tm 0.5000 0.0000 0.7936  2 F 2.05
Pt 0.0000 0.0000 0.0000  4 Pt 2.66, 4 Tm 2.90
Pt 0.5000 0.5000 0.0000  4 Pt 2.66, 4 Tm 2.90
Pt 0.5000 0.5000 0.5000  4 F 2.66
F 0.0000 0.0000 0.2823  2 Tm 2.05
F 0.0000 0.0000 0.5000  2 F 2.32
F 0.0000 0.0000 0.7177  2 Tm 2.05

* total energy: -5.554 eV/atom

8.
VASP calculation (GGA-PBE) on an optimized crystal structure of PtXeF11.

abc: 15.9003 7.5345 5.2534
angles: 90.00 90.00 90.00
Closest atoms and distances in Å follow each position.
Element x y z (fractional)
Pt 0.0469 0.2500 0.2114  6 F 1.89-1.94
Pt 0.4531 0.7500 0.7114  6 F 1.89-1.94
Pt 0.5469 0.2500 0.2886  6 F 1.89-1.94
Pt 0.9531 0.7500 0.7886  6 F 1.89-1.94
Xe 0.1533 0.7500 0.3071  5 F 1.95-1.98
Xe 0.3467 0.2500 0.8071  5 F 1.95-1.98
Xe 0.6533 0.7500 0.1929  5 F 1.95-1.98
Xe 0.8467 0.2500 0.6929  5 F 1.95-1.98
F 0.0032 0.7500 0.4582  1 Pt 1.91
F 0.0420 0.5031 0.2122  1 Pt 1.91
F 0.0420 0.9969 0.2122  1 Pt 1.91
F 0.0676 0.7500 0.9153  1 Pt 1.94
F 0.0929 0.2500 0.8805  1 Pt 1.89
F 0.1502 0.5681 0.5798  1 Xe 1.98
F 0.1502 0.9319 0.5798  1 Xe 1.98
F 0.1564 0.2500 0.3571  1 Pt 1.90
F 0.1983 0.5697 0.0695  1 Xe 1.98
F 0.1983 0.9303 0.0695  1 Xe 1.98
F 0.2284 0.2500 0.9034  1 Xe 1.95, 1 F 2.16
F 0.2716 0.7500 0.4034  1 Xe 1.95, 1 F 2.16
F 0.3017 0.0697 0.5695  1 Xe 1.98
F 0.3017 0.4303 0.5695  1 Xe 1.98
F 0.3436 0.7500 0.8571  1 Pt 1.90
F 0.3498 0.0681 0.0798  1 Xe 1.98
F 0.3498 0.4319 0.0798  1 Xe 1.98
F 0.4071 0.7500 0.3805  1 Pt 1.89
F 0.4324 0.2500 0.4153  1 Pt 1.94
F 0.4580 0.0031 0.7122  1 Pt 1.91
F 0.4580 0.4969 0.7122  1 Pt 1.91
F 0.4968 0.2500 0.9582  1 Pt 1.91
F 0.5032 0.7500 0.0418  1 Pt 1.91
F 0.5420 0.5031 0.2878  1 Pt 1.91
F 0.5420 0.9969 0.2878  1 Pt 1.91
F 0.5676 0.7500 0.5847  1 Pt 1.94
F 0.5929 0.2500 0.6195  1 Pt 1.89
F 0.6502 0.5681 0.9202  1 Xe 1.98
F 0.6502 0.9319 0.9202  1 Xe 1.98
F 0.6564 0.2500 0.1429  1 Pt 1.90
F 0.6983 0.5697 0.4305  1 Xe 1.98
F 0.6983 0.9303 0.4305  1 Xe 1.98
F 0.7284 0.2500 0.5966  1 Xe 1.95, 1 F 2.16
F 0.7716 0.7500 0.0966  1 Xe 1.95, 1 F 2.16
F 0.8017 0.0697 0.9305  1 Xe 1.98
F 0.8017 0.4303 0.9305  1 Xe 1.98
F 0.8436 0.7500 0.6429  1 Pt 1.90
F 0.8498 0.0681 0.4202  1 Xe 1.98
F 0.8498 0.4319 0.4202  1 Xe 1.98
F 0.9071 0.7500 0.1195  1 Pt 1.89
F 0.9324 0.2500 0.0847  1 Pt 1.94
F 0.9580 0.0031 0.7878  1 Pt 1.91
F 0.9580 0.4969 0.7878  1 Pt 1.91
F 0.9968 0.2500 0.5418  1 Pt 1.91

* total energy: -2.732 eV/atom

9.
VASP calculation (GGA-PBE) on an optimized crystal structure of ZnPtF6.

abc: 4.7940 4.8141 5.2841
angles: 63.58 63.32 60.49
Closest atoms and distances in Å follow each position.
Element x y z (fractional)
Zn 0.0000 0.0000 0.0000  6 F 2.01
Pt 0.5000 0.5000 0.5000  6 F 1.96
F 0.0767 0.7427 0.7471  1 Pt 1.96, 1 Zn 2.01
F 0.2566 0.5708 0.2488  1 Pt 1.96, 1 Zn 2.01
F 0.4307 0.0796 0.7469  1 Pt 1.96, 1 Zn 2.01
F 0.5693 0.9204 0.2531  1 Pt 1.96, 1 Zn 2.01
F 0.7434 0.4292 0.7512  1 Pt 1.96, 1 Zn 2.01
F 0.9233 0.2573 0.2529  1 Pt 1.96, 1 Zn 2.01

* total energy: -3.982 eV/atom

10.
VASP calculation (GGA-PBE) on an optimized crystal structure of ZrPt2F3.

abc: 3.6065 3.6065 7.5016
angles: 90.00 90.00 120.00
Closest atoms and distances in Å follow each position.
Element x y z (fractional)
Zr 0.0000 0.0000 0.0000  6 F 2.14
Pt 0.3333 0.6667 0.3189  3 F 2.49
Pt 0.6667 0.3333 0.6811  3 F 2.49
F 0.0000 0.0000 0.5000  6 Pt 2.49
F 0.3333 0.6667 0.9341  3 Zr 2.14, 3 F 2.30
F 0.6667 0.3333 0.0659  3 Zr 2.14, 3 F 2.30

* total energy: -5.253 eV/atom

11.
VASP calculation (GGA-PBE) on an optimized crystal structure of PuF4.

abc: 5.6469 5.3414 6.8024
angles: 53.80 49.76 76.44
Closest atoms and distances in Å follow each position.
Element x y z (fractional)
Pu 0.0000 0.0000 0.0000  8 F 2.17-2.29
Pu 0.2500 0.2500 0.2500  8 F 2.17-2.29
F 0.3071 0.3824 0.4656  2 Pu 2.17-2.27
F 0.3824 0.3071 0.8449  2 Pu 2.17-2.27
F 0.4051 0.7844 0.8676  2 Pu 2.17-2.27
F 0.4595 0.8588 0.4055  2 Pu 2.18-2.29
F 0.7844 0.4051 0.9429  2 Pu 2.17-2.27
F 0.8445 0.9738 0.7905  2 Pu 2.18-2.29
F 0.8588 0.4595 0.2762  2 Pu 2.18-2.29
F 0.9738 0.8445 0.3912  2 Pu 2.18-2.29

* energy above the most stable polymorph in this dataset: 80 meV per atom

12.
VASP calculation (GGA-PBE) on an optimized crystal structure of PuF4.

abc: 4.2956 4.2956 7.3535
angles: 90.00 90.00 90.00
Closest atoms and distances in Å follow each position.
Element x y z (fractional)
Pu 0.0000 0.0000 0.0000  6 F 2.06-2.15
Pu 0.5000 0.5000 0.5000  6 F 2.06-2.15
F 0.0000 0.0000 0.2796  1 Pu 2.06
F 0.0000 0.0000 0.7204  1 Pu 2.06
F 0.0000 0.5000 0.0000  2 Pu 2.15
F 0.0000 0.5000 0.5000  2 Pu 2.15
F 0.5000 0.0000 0.0000  2 Pu 2.15
F 0.5000 0.0000 0.5000  2 Pu 2.15
F 0.5000 0.5000 0.2204  1 Pu 2.06
F 0.5000 0.5000 0.7796  1 Pu 2.06

* energy above the most stable polymorph in this dataset: 0 meV per atom

13.
VASP calculation (GGA-PBE) on an optimized crystal structure of PuF2.

abc: 5.5360 5.5360 3.7214
angles: 90.00 90.00 90.00
Closest atoms and distances in Å follow each position.
Element x y z (fractional)
Pu 0.0000 0.0000 0.0000  6 F 2.37-2.42
Pu 0.5000 0.5000 0.5000  6 F 2.37-2.42
F 0.1977 0.1977 0.5000  3 Pu 2.37-2.42
F 0.3023 0.6977 0.0000  3 Pu 2.37-2.42
F 0.6977 0.3023 0.0000  3 Pu 2.37-2.42
F 0.8023 0.8023 0.5000  3 Pu 2.37-2.42

* total energy: -9.015 eV/atom

14.
VASP calculation (GGA-PBE) on an optimized crystal structure of Rb2PuTlF6.

abc: 6.3753 6.3753 6.3753
angles: 63.61 63.61 63.61
Closest atoms and distances in Å follow each position.
Element x y z (fractional)
Rb 0.0000 0.0000 0.0000  6 F 2.72-2.85
Rb 0.4916 0.4916 0.4916  6 F 2.66-2.94
Pu 0.7538 0.7538 0.7538  6 F 2.26-2.27
Tl 0.2444 0.2444 0.2444  6 F 2.62-2.65
F 0.0179 0.4245 0.6198  1 Pu 2.27
F 0.0959 0.8703 0.5841  1 Pu 2.26
F 0.4245 0.6198 0.0179  1 Pu 2.27
F 0.5841 0.0959 0.8703  1 Pu 2.26
F 0.6198 0.0179 0.4245  1 Pu 2.27
F 0.8703 0.5841 0.0959  1 Pu 2.26

* total energy: -5.828 eV/atom

15.
VASP calculation (GGA-PBE) on an optimized crystal structure of Pu2SeF4.

abc: 7.7837 7.7837 7.7837
angles: 30.32 30.32 30.32
Closest atoms and distances in Å follow each position.
Element x y z (fractional)
Pu 0.2456 0.2456 0.2456  7 F 2.36-2.61
Pu 0.7544 0.7544 0.7544  7 F 2.36-2.61
Se 0.0000 0.0000 0.0000  6 Pu 3.06, 8 F 3.09-3.20
F 0.1390 0.1390 0.1390  4 Pu 2.37-2.61, 6 F 2.53-2.65
F 0.4307 0.4307 0.4307  3 Pu 2.36, 3 F 2.53
F 0.5693 0.5693 0.5693  3 Pu 2.36, 3 F 2.53
F 0.8610 0.8610 0.8610  4 Pu 2.37-2.61, 6 F 2.53-2.65

* total energy: -8.735 eV/atom

16.
VASP calculation (GGA-PBE) on an optimized crystal structure of SmPuSe2F2.

abc: 3.9508 3.9508 7.1692
angles: 90.00 90.00 90.00
Closest atoms and distances in Å follow each position.
Element x y z (fractional)
Sm 0.0000 0.0000 0.0000  4 F 2.49
Pu 0.5000 0.5000 0.5601  4 F 2.56
Se 0.0000 0.0000 0.4283  4 Pu 2.95, 1 Sm 3.07, 4 F 3.25
Se 0.5000 0.5000 0.1424  4 Sm 2.97, 1 Pu 2.99, 4 F 3.22
F 0.0000 0.5000 0.7879  2 Sm 2.49, 2 Pu 2.56
F 0.5000 0.0000 0.7879  2 Sm 2.49, 2 Pu 2.56

* total energy: -7.600 eV/atom

17.
VASP calculation (GGA-PBE) on an optimized crystal structure of RbSmF3.

abc: 4.5080 6.0582 7.8247
angles: 90.00 106.60 90.00
Closest atoms and distances in Å follow each position.
Element x y z (fractional)
Rb 0.1564 0.2500 0.3083  6 F 2.74-2.81
Rb 0.8436 0.7500 0.6917  6 F 2.74-2.81
Sm 0.3990 0.2500 0.8139  4 F 2.13-2.27
Sm 0.6010 0.7500 0.1861  4 F 2.13-2.27
F 0.0866 0.7500 0.1586  2 Sm 2.26-2.27
F 0.3096 0.5071 0.6209  1 Sm 2.13
F 0.3096 0.9929 0.6209  1 Sm 2.13
F 0.6904 0.0071 0.3791  1 Sm 2.13
F 0.6904 0.4929 0.3791  1 Sm 2.13
F 0.9134 0.2500 0.8414  2 Sm 2.26-2.27

* energy above the most stable polymorph in this dataset: 0 meV per atom

18.
VASP calculation (GGA-PBE) on an optimized crystal structure of RbSmF3.

abc: 6.4052 6.4790 4.5546
angles: 90.00 90.00 90.00
Closest atoms and distances in Å follow each position.
Element x y z (fractional)
Rb 0.0000 0.0000 0.0000  12 F 3.20-3.24
Rb 0.5000 0.5000 0.0000  12 F 3.20-3.24
Sm 0.0000 0.5000 0.5000  6 F 2.28
Sm 0.5000 0.0000 0.5000  6 F 2.28
F 0.0000 0.5000 0.0000  2 Sm 2.28
F 0.2500 0.2500 0.5000  2 Sm 2.28
F 0.2500 0.7500 0.5000  2 Sm 2.28
F 0.5000 0.0000 0.0000  2 Sm 2.28
F 0.7500 0.2500 0.5000  2 Sm 2.28
F 0.7500 0.7500 0.5000  2 Sm 2.28

* energy above the most stable polymorph in this dataset: 7 meV per atom

19.
VASP calculation (GGA-PBE) on an optimized crystal structure of Rb2SmTlF6.

abc: 6.6214 6.6214 6.6214
angles: 60.00 60.00 60.00
Closest atoms and distances in Å follow each position.
Element x y z (fractional)
Rb 0.2500 0.2500 0.2500  12 F 3.31
Rb 0.7500 0.7500 0.7500  12 F 3.31
Sm 0.0000 0.0000 0.0000  6 F 2.19
Tl 0.5000 0.5000 0.5000  6 F 2.49
F 0.2338 0.2338 0.7662  1 Sm 2.19
F 0.2338 0.7662 0.2338  1 Sm 2.19
F 0.2338 0.7662 0.7662  1 Sm 2.19
F 0.7662 0.2338 0.2338  1 Sm 2.19
F 0.7662 0.2338 0.7662  1 Sm 2.19
F 0.7662 0.7662 0.2338  1 Sm 2.19

* total energy: -5.010 eV/atom

20.
VASP calculation (GGA-PBE) on an optimized crystal structure of Rb2TbF6.

abc: 5.8134 5.8134 5.8134
angles: 60.00 60.00 60.00
Closest atoms and distances in Å follow each position.
Element x y z (fractional)
Rb 0.2500 0.2500 0.2500  12 F 2.91
Rb 0.7500 0.7500 0.7500  12 F 2.91
Tb 0.0000 0.0000 0.0000  6 F 2.13
F 0.2588 0.2588 0.7412  1 Tb 2.13
F 0.2588 0.7412 0.2588  1 Tb 2.13
F 0.2588 0.7412 0.7412  1 Tb 2.13
F 0.7412 0.2588 0.2588  1 Tb 2.13
F 0.7412 0.2588 0.7412  1 Tb 2.13
F 0.7412 0.7412 0.2588  1 Tb 2.13

* total energy: -4.788 eV/atom

no.,magnetic moment (μB per cell)
1,1.684
2,0.013
3,0.002
4,0.006
5,0.002
6,0.998
7,0.014
8,4.020
9,0.000
10,0.018
11,8.000
12,8.002
13,11.830
14,5.004
15,10.001
16,5.009
17,1.060
18,0.816
19,0.000
20,1.000